(1)
# PBEsol NiPtPb2, optimized geometry
data_NiPtPb2
_space_group_name_H-M_alt 'P 1 2/m 1'
_space_group_IT_number 10
_cell_length_a 3.375
_cell_length_b 3.370
_cell_length_c 6.719
_cell_angle_alpha 90.00
_cell_angle_beta 94.22
_cell_angle_gamma 90.00
loop_
_space_group_symop_operation_xyz
'x,y,z'
'-x,-y,-z'
'-x,y,-z'
'x,-y,z'
loop_
_atom_site_label
_atom_site_type_symbol
_atom_site_fract_x
_atom_site_fract_y
_atom_site_fract_z
Ni1 Ni 0.000 0.000 0.000
Pt1 Pt 0.000 0.000 0.500
Pb1 Pb 0.486 0.500 0.241
# * formation enthalpy at 0 K: 0.20 eV per atom
# * electronic total energy: -20.33 eV/cell
# * spin magnetization: 0.0 μB per formula unit

(2)
# PBEsol Rb3NiPb, optimized geometry
data_Rb3NiPb
_space_group_name_H-M_alt 'P m -3 m'
_space_group_IT_number 221
_space_group_name_Hall '-P 4 2 3'
_cell_length_a 6.177
_cell_length_b 6.177
_cell_length_c 6.177
_cell_angle_alpha 90.00
_cell_angle_beta 90.00
_cell_angle_gamma 90.00
loop_
_atom_site_label
_atom_site_type_symbol
_atom_site_fract_x
_atom_site_fract_y
_atom_site_fract_z
Rb1 Rb 0.000 0.000 0.500
Ni1 Ni 0.000 0.000 0.000
Pb1 Pb 0.500 0.500 0.500
# * formation enthalpy at 0 K: 0.66 eV per atom
# * electronic total energy: -9.92 eV/cell
# * spin magnetization: 3.0 μB per formula unit

(3)
# PBEsol ReNi2Pb, optimized geometry
data_ReNi2Pb
_space_group_name_H-M_alt 'P m m 2'
_space_group_IT_number 25
_cell_length_a 2.826
_cell_length_b 4.238
_cell_length_c 4.832
_cell_angle_alpha 90.00
_cell_angle_beta 90.00
_cell_angle_gamma 90.00
loop_
_space_group_symop_operation_xyz
'x,y,z'
'-x,-y,z'
'-x,y,z'
'x,-y,z'
loop_
_atom_site_label
_atom_site_type_symbol
_atom_site_fract_x
_atom_site_fract_y
_atom_site_fract_z
Re1 Re 0.000 0.000 0.000
Ni1 Ni 0.500 0.000 0.435
Ni2 Ni 0.500 0.500 0.136
Pb1 Pb 0.000 0.500 0.621
# * formation enthalpy at 0 K: 0.46 eV per atom
# * electronic total energy: -27.79 eV/cell
# * spin magnetization: 0.0 μB per formula unit